## Cs6SI2Br2 (GGA-PBE)

Data for an optimized crystal structure of Cs6SI2Br2.

Unit cell a=9.092 b=9.092 c=9.487 alpha=99.63 beta=99.63 gamma=118.40
Sites, in units of the cell vectors:
Cs 0.055 0.380 0.210
Cs 0.221 0.221 0.787
Cs 0.380 0.055 0.210
Cs 0.620 0.945 0.790
Cs 0.779 0.779 0.213
Cs 0.945 0.620 0.790
S 0.000 0.000 0.000
I 0.176 0.824 0.500
I 0.824 0.176 0.500
Br 0.340 0.660 0.000
Br 0.660 0.340 0.000

Output
spin magnetization = 0.2 μB per formula unit
crystal system = monoclinic
symmetry = No. 12
N(E_F) = 0.0 states/eV per cell
final energy = -31.86 eV per cell